1.
Material: HfZn2Tc2
Method: DFT, PBE
State: relaxed

Unit cell a=7.3066 b=7.3066 c=3.0304 alpha=90.00 beta=90.00 gamma=90.00
With the nearest neighbours (Å) after each atom.
Space group P4/mbm (No. 127)
Asymmetric unit:
Hf1 0.0000 0.0000 0.0000 (multiplicity 2)  4 Tc 2.94, 2 Hf 3.03, 8 Zn 3.08
Zn1 0.1789 0.3211 0.5000 (multiplicity 4)  6 Tc 2.62-2.67
Tc1 0.1148 0.6148 0.0000 (multiplicity 4)  1 Tc 2.37, 2 Zn 2.62

Output
**Volume**: 16.2 Å³ per atom
**E_tot**: -6.5418 eV/atom
**Fermi-level density of states**: 0.737 states/eV per atom
**M_tot**: 0.00 μB per cell


2.
Material: HfZn11Tc
Method: DFT, PBE
State: relaxed

Unit cell a=5.2122 b=12.8734 c=6.4087 alpha=90.00 beta=111.20 gamma=90.00
With the nearest neighbours (Å) after each atom.
Space group C2/m (No. 12)
Asymmetric unit:
Hf1 0.0000 0.0000 0.0000 (multiplicity 2)  14 Zn 3.05-3.32, 2 Tc 3.20
Zn1 0.0000 0.5000 0.5000 (multiplicity 2)  8 Zn 2.53-2.77, 2 Tc 2.61
Zn2 0.1076 0.3932 0.2113 (multiplicity 8)  7 Zn 2.53-2.81, 1 Tc 2.60
Zn3 0.1588 0.1710 0.3532 (multiplicity 8)  1 Tc 2.64, 8 Zn 2.68-2.92
Zn4 0.2500 0.2500 0.0000 (multiplicity 4)  10 Zn 2.55-2.69
Tc1 0.0000 0.0000 0.5000 (multiplicity 2)  10 Zn 2.60-2.64

Output
**Volume**: 15.4 Å³ per atom
**E_tot**: -2.6732 eV/atom
**Fermi-level density of states**: 0.389 states/eV per atom
**M_tot**: 0.00 μB per cell


3.
Material: Hf3Zn8Tc
Method: DFT, PBE
State: relaxed

Unit cell a=5.1135 b=5.1135 c=8.3268 alpha=90.00 beta=90.00 gamma=120.00
With the nearest neighbours (Å) after each atom.
Space group P3m1 (No. 156)
Asymmetric unit:
Hf1 0.0000 0.0000 0.0000 (multiplicity 1)  12 Zn 2.98-3.07, 4 Hf 3.13-3.24
Hf2 0.0000 0.0000 0.3754 (multiplicity 1)  12 Zn 2.88-3.02, 1 Hf 3.13, 3 Tc 3.13
Hf3 0.3333 0.6667 0.8398 (multiplicity 1)  1 Tc 2.81, 9 Zn 2.90-3.04
Zn1 0.0113 0.5056 0.1833 (multiplicity 3)  6 Zn 2.47-2.64
Zn2 0.3246 0.1623 0.6748 (multiplicity 3)  6 Zn 2.49-2.62
Zn3 0.6667 0.3333 0.4308 (multiplicity 1)  6 Zn 2.53-2.56
Zn4 0.6667 0.3333 0.9275 (multiplicity 1)  6 Zn 2.59-2.62
Tc1 0.3333 0.6667 0.5018 (multiplicity 1)  4 Hf 2.81-3.13, 12 Zn 2.94-3.01

Output
**Volume**: 15.7 Å³ per atom
**E_tot**: -4.4077 eV/atom
**Fermi-level density of states**: 0.682 states/eV per atom
**M_tot**: 0.00 μB per cell


4.
Material: Hf8Zn2Tc
Method: DFT, PBE
State: relaxed

Unit cell a=14.8425 b=4.7377 c=6.9857 alpha=90.00 beta=114.93 gamma=90.00
With the nearest neighbours (Å) after each atom.
Space group C2/m (No. 12)
Asymmetric unit:
Hf1 0.0277 0.0000 0.2921 (multiplicity 4)  1 Zn 2.88, 2 Tc 2.90, 6 Hf 2.99-3.10
Hf2 0.0936 0.5000 0.9353 (multiplicity 4)  1 Tc 2.76, 2 Zn 2.84, 2 Hf 2.99
Hf3 0.1676 0.5000 0.4314 (multiplicity 4)  1 Tc 2.72, 1 Zn 2.79, 3 Hf 3.03
Hf4 0.1827 0.0000 0.7583 (multiplicity 4)  3 Zn 2.76-2.97, 2 Hf 2.99-3.03
Zn1 0.1852 0.0000 0.1551 (multiplicity 4)  7 Hf 2.76-2.97
Tc1 0.0000 0.5000 0.5000 (multiplicity 2)  8 Hf 2.72-2.90

Output
**Volume**: 20.2 Å³ per atom
**E_tot**: -8.4680 eV/atom
**Fermi-level density of states**: 0.950 states/eV per atom
**M_tot**: 0.00 μB per cell